Entry from the Alexandria database: an optimized crystal structure of NiSeO2 (PBE with a Hubbard U).

a = 4.419 Å, b = 5.143 Å, c = 6.580 Å
α = 68.65°, β = 70.38°, γ = 89.90°
Fractional positions:
Ni1 0.000 0.000 0.000
Ni2 0.409 0.499 0.000
Se1 0.484 0.845 0.301
Se2 0.784 0.154 0.699
O1 0.216 0.723 0.191
O2 0.366 0.171 0.290
O3 0.406 0.276 0.809
O4 0.655 0.828 0.711

**Crystal system**: triclinic
**Calculated total energy**: -35.8 eV/cell
**Density of states at the Fermi level**: 0.0 states/eV/f.u.